Density functional theory data (PBE with a Hubbard U) for an optimized crystal structure of PaCoP2O8.

The structure in POSCAR format:
```
PaCoP2O8
1.0
5.1698 0.0000 0.0000
-2.5849 4.4772 0.0000
0.0000 0.0000 6.6396
Pa Co P O
1 1 2 8
Direct
0.0000 0.0000 0.0000 Pa
0.0000 0.0000 0.5000 Co
0.3333 0.6667 0.2039 P
0.6667 0.3333 0.7961 P
0.1686 0.3372 0.2748 O
0.1686 0.8314 0.2748 O
0.3333 0.6667 0.9718 O
0.3372 0.1686 0.7252 O
0.6628 0.8314 0.2748 O
0.6667 0.3333 0.0282 O
0.8314 0.1686 0.7252 O
0.8314 0.6628 0.7252 O
```

Summary:
Calculated volume in A^3/atom: 12.81
Total moment in μB per formula unit: 3.094
VASP energy in Ha/atom: -0.283
Theoretical density in g/cm³: 5.186